Here is a relaxed RbLi3La crystal from the Alexandria database. Energies are from PBE.

Cell lengths 6.2630, 6.2630, 6.2630 Å; angles 90.00, 90.00, 90.00 degrees
Fractional coordinates of all 5 atoms:
1 Rb 0.0000 0.0000 0.0000
2 Li 0.0000 0.5000 0.5000
3 Li 0.5000 0.0000 0.5000
4 Li 0.5000 0.5000 0.0000
5 La 0.5000 0.5000 0.5000

Formation energy = 3.784 eV/f.u.
E = -1.57 eV per atom
Total magnetization = 2.7 μB per formula unit
Offset from the most stable computed form = 10 kJ/mol of formula units
Space group = Pm-3m, No. 221